Computed, not measured: an optimized crystal structure of YHoInPd at the PBE-GGA level of DFT.

Cell lengths 5.153, 5.153, 5.153 Å; angles 60.00, 60.00, 60.00 degrees
Fractional positions:
1 Ho 0.250 0.250 0.250
2 Y 0.750 0.750 0.750
3 In 0.500 0.500 0.500
4 Pd 0.000 0.000 0.000

## Properties
- Density: 8.15 g cm⁻³
- E_form: -0.62 eV per atom
- Space-group type: F-43m, No. 216
- VASP energy: -5.3610 eV per atom